A plane-wave DFT calculation with PBE was carried out for crystalline ZrVIr2 at its relaxed geometry.

```
data_ZrVIr2
_cell_length_a 4.1733
_cell_length_b 4.1733
_cell_length_c 3.7037
_cell_angle_alpha 90.00
_cell_angle_beta 90.00
_cell_angle_gamma 90.00
_symmetry_space_group_name_H-M 'P 1'
_symmetry_Int_Tables_number 1
loop_
_symmetry_equiv_pos_as_xyz
'x,y,z'
loop_
_atom_site_label
_atom_site_type_symbol
_atom_site_fract_x
_atom_site_fract_y
_atom_site_fract_z
_atom_site_occupancy
Zr1 Zr 0.0000 0.0000 0.0000 1
V1 V 0.5000 0.5000 0.0000 1
Ir1 Ir 0.0000 0.5000 0.5000 1
Ir2 Ir 0.5000 0.0000 0.5000 1
```

Offset from the most stable computed form (eV per atom): 0.0661
Crystal system: tetragonal



A plane-wave DFT calculation with PBE was carried out for crystalline ZrVIr at its relaxed geometry.

```
data_ZrVIr
_cell_length_a 5.2032
_cell_length_b 5.2032
_cell_length_c 5.2032
_cell_angle_alpha 122.44
_cell_angle_beta 116.58
_cell_angle_gamma 90.92
_symmetry_space_group_name_H-M 'P 1'
_symmetry_Int_Tables_number 1
loop_
_symmetry_equiv_pos_as_xyz
'x,y,z'
loop_
_atom_site_label
_atom_site_type_symbol
_atom_site_fract_x
_atom_site_fract_y
_atom_site_fract_z
_atom_site_occupancy
Zr1 Zr 0.3728 0.1228 0.2500 1
Zr2 Zr 0.6272 0.8772 0.7500 1
V1 V 0.0000 0.0000 0.5000 1
V2 V 0.0000 0.5000 0.0000 1
Ir1 Ir 0.0000 0.5000 0.5000 1
Ir2 Ir 0.5000 0.5000 0.0000 1
```

Offset from the most stable computed form (eV per atom): 0.0000
Crystal system: orthorhombic



A plane-wave DFT calculation with PBE was carried out for crystalline ZrVIr2 at its relaxed geometry.

```
data_ZrVIr2
_cell_length_a 7.0217
_cell_length_b 7.0217
_cell_length_c 7.0217
_cell_angle_alpha 131.85
_cell_angle_beta 131.85
_cell_angle_gamma 70.46
_symmetry_space_group_name_H-M 'P 1'
_symmetry_Int_Tables_number 1
loop_
_symmetry_equiv_pos_as_xyz
'x,y,z'
loop_
_atom_site_label
_atom_site_type_symbol
_atom_site_fract_x
_atom_site_fract_y
_atom_site_fract_z
_atom_site_occupancy
Zr1 Zr 0.0000 0.0000 0.0000 1
Zr2 Zr 0.7500 0.2500 0.5000 1
V1 V 0.2500 0.7500 0.5000 1
V2 V 0.5000 0.5000 0.0000 1
Ir1 Ir 0.1657 0.6250 0.0407 1
Ir2 Ir 0.3750 0.4157 0.5407 1
Ir3 Ir 0.5843 0.1250 0.9593 1
Ir4 Ir 0.8750 0.8343 0.4593 1
```

Offset from the most stable computed form (eV per atom): 1.0609
Crystal system: tetragonal



A plane-wave DFT calculation with PBE was carried out for crystalline Zr3VIr at its relaxed geometry.

```
data_Zr3VIr
_cell_length_a 5.0575
_cell_length_b 5.0575
_cell_length_c 5.0575
_cell_angle_alpha 90.00
_cell_angle_beta 90.00
_cell_angle_gamma 90.00
_symmetry_space_group_name_H-M 'P 1'
_symmetry_Int_Tables_number 1
loop_
_symmetry_equiv_pos_as_xyz
'x,y,z'
loop_
_atom_site_label
_atom_site_type_symbol
_atom_site_fract_x
_atom_site_fract_y
_atom_site_fract_z
_atom_site_occupancy
Zr1 Zr 0.0000 0.0000 0.5000 1
Zr2 Zr 0.0000 0.5000 0.0000 1
Zr3 Zr 0.5000 0.0000 0.0000 1
V1 V 0.5000 0.5000 0.5000 1
Ir1 Ir 0.0000 0.0000 0.0000 1
```

Offset from the most stable computed form (eV per atom): 0.0000
Crystal system: cubic



A plane-wave DFT calculation with PBE was carried out for crystalline ZrVIr at its relaxed geometry.

```
data_ZrVIr
_cell_length_a 5.9746
_cell_length_b 5.9746
_cell_length_c 5.9746
_cell_angle_alpha 150.80
_cell_angle_beta 150.80
_cell_angle_gamma 41.77
_symmetry_space_group_name_H-M 'P 1'
_symmetry_Int_Tables_number 1
loop_
_symmetry_equiv_pos_as_xyz
'x,y,z'
loop_
_atom_site_label
_atom_site_type_symbol
_atom_site_fract_x
_atom_site_fract_y
_atom_site_fract_z
_atom_site_occupancy
Zr1 Zr 0.0000 0.0000 0.0000 1
V1 V 0.6838 0.6838 0.0000 1
Ir1 Ir 0.3067 0.3067 0.0000 1
```

Offset from the most stable computed form (eV per atom): 0.2774
Crystal system: tetragonal



A plane-wave DFT calculation with PBE was carried out for crystalline ZrVIr2 at its relaxed geometry.

```
data_ZrVIr2
_cell_length_a 4.9410
_cell_length_b 4.9410
_cell_length_c 4.9410
_cell_angle_alpha 51.42
_cell_angle_beta 51.42
_cell_angle_gamma 51.42
_symmetry_space_group_name_H-M 'P 1'
_symmetry_Int_Tables_number 1
loop_
_symmetry_equiv_pos_as_xyz
'x,y,z'
loop_
_atom_site_label
_atom_site_type_symbol
_atom_site_fract_x
_atom_site_fract_y
_atom_site_fract_z
_atom_site_occupancy
Zr1 Zr 0.0000 0.0000 0.0000 1
V1 V 0.5000 0.5000 0.5000 1
Ir1 Ir 0.2212 0.2212 0.2212 1
Ir2 Ir 0.7788 0.7788 0.7788 1
```

Offset from the most stable computed form (eV per atom): 0.1914
Crystal system: trigonal



A plane-wave DFT calculation with PBE was carried out for crystalline ZrVIr2 at its relaxed geometry.

```
data_ZrVIr2
_cell_length_a 2.9528
_cell_length_b 2.9528
_cell_length_c 7.2905
_cell_angle_alpha 90.00
_cell_angle_beta 90.00
_cell_angle_gamma 90.00
_symmetry_space_group_name_H-M 'P 1'
_symmetry_Int_Tables_number 1
loop_
_symmetry_equiv_pos_as_xyz
'x,y,z'
loop_
_atom_site_label
_atom_site_type_symbol
_atom_site_fract_x
_atom_site_fract_y
_atom_site_fract_z
_atom_site_occupancy
Zr1 Zr 0.0000 0.0000 0.0000 1
V1 V 0.0000 0.0000 0.5000 1
Ir1 Ir 0.5000 0.5000 0.2880 1
Ir2 Ir 0.5000 0.5000 0.7120 1
```

Offset from the most stable computed form (eV per atom): 0.0000
Crystal system: tetragonal



A plane-wave DFT calculation with PBE was carried out for crystalline ZrVIr at its relaxed geometry.

```
data_ZrVIr
_cell_length_a 5.1821
_cell_length_b 4.1516
_cell_length_c 5.2638
_cell_angle_alpha 90.00
_cell_angle_beta 108.22
_cell_angle_gamma 90.00
_symmetry_space_group_name_H-M 'P 1'
_symmetry_Int_Tables_number 1
loop_
_symmetry_equiv_pos_as_xyz
'x,y,z'
loop_
_atom_site_label
_atom_site_type_symbol
_atom_site_fract_x
_atom_site_fract_y
_atom_site_fract_z
_atom_site_occupancy
Zr1 Zr 0.0595 0.2500 0.2453 1
Zr2 Zr 0.9405 0.7500 0.7547 1
V1 V 0.4442 0.2500 0.8552 1
V2 V 0.5558 0.7500 0.1448 1
Ir1 Ir 0.3723 0.7500 0.5808 1
Ir2 Ir 0.6277 0.2500 0.4192 1
```

Offset from the most stable computed form (eV per atom): 0.3234
Crystal system: monoclinic



A plane-wave DFT calculation with PBE was carried out for crystalline IrW2 at its relaxed geometry.

```
data_IrW2
_cell_length_a 4.3411
_cell_length_b 4.3411
_cell_length_c 4.3411
_cell_angle_alpha 131.09
_cell_angle_beta 114.03
_cell_angle_gamma 86.31
_symmetry_space_group_name_H-M 'P 1'
_symmetry_Int_Tables_number 1
loop_
_symmetry_equiv_pos_as_xyz
'x,y,z'
loop_
_atom_site_label
_atom_site_type_symbol
_atom_site_fract_x
_atom_site_fract_y
_atom_site_fract_z
_atom_site_occupancy
Ir1 Ir 0.0000 0.0000 0.0000 1
W1 W 0.2961 0.7961 0.5000 1
W2 W 0.7039 0.2039 0.5000 1
```

Offset from the most stable computed form (eV per atom): 0.6701
Crystal system: orthorhombic



A plane-wave DFT calculation with PBE was carried out for crystalline Ir3W4 at its relaxed geometry.

```
data_Ir3W4
_cell_length_a 5.1068
_cell_length_b 5.1068
_cell_length_c 4.8843
_cell_angle_alpha 90.00
_cell_angle_beta 90.00
_cell_angle_gamma 120.00
_symmetry_space_group_name_H-M 'P 1'
_symmetry_Int_Tables_number 1
loop_
_symmetry_equiv_pos_as_xyz
'x,y,z'
loop_
_atom_site_label
_atom_site_type_symbol
_atom_site_fract_x
_atom_site_fract_y
_atom_site_fract_z
_atom_site_occupancy
Ir1 Ir 0.0000 0.5000 0.0000 1
Ir2 Ir 0.5000 0.0000 0.0000 1
Ir3 Ir 0.5000 0.5000 0.0000 1
W1 W 0.0000 0.0000 0.2570 1
W2 W 0.0000 0.0000 0.7430 1
W3 W 0.3333 0.6667 0.5000 1
W4 W 0.6667 0.3333 0.5000 1
```

Offset from the most stable computed form (eV per atom): 0.0000
Crystal system: hexagonal



A plane-wave DFT calculation with PBE was carried out for crystalline IrW2 at its relaxed geometry.

```
data_IrW2
_cell_length_a 5.0707
_cell_length_b 5.0707
_cell_length_c 5.0707
_cell_angle_alpha 104.69
_cell_angle_beta 104.69
_cell_angle_gamma 119.52
_symmetry_space_group_name_H-M 'P 1'
_symmetry_Int_Tables_number 1
loop_
_symmetry_equiv_pos_as_xyz
'x,y,z'
loop_
_atom_site_label
_atom_site_type_symbol
_atom_site_fract_x
_atom_site_fract_y
_atom_site_fract_z
_atom_site_occupancy
Ir1 Ir 0.2500 0.2500 0.0000 1
Ir2 Ir 0.7500 0.7500 0.0000 1
W1 W 0.1474 0.6474 0.7947 1
W2 W 0.3526 0.1474 0.5000 1
W3 W 0.6474 0.8526 0.5000 1
W4 W 0.8526 0.3526 0.2053 1
```

Offset from the most stable computed form (eV per atom): 0.1496
Crystal system: tetragonal



A plane-wave DFT calculation with PBE was carried out for crystalline IrW3 at its relaxed geometry.

```
data_IrW3
_cell_length_a 2.7409
_cell_length_b 2.7409
_cell_length_c 8.4486
_cell_angle_alpha 90.00
_cell_angle_beta 90.00
_cell_angle_gamma 90.00
_symmetry_space_group_name_H-M 'P 1'
_symmetry_Int_Tables_number 1
loop_
_symmetry_equiv_pos_as_xyz
'x,y,z'
loop_
_atom_site_label
_atom_site_type_symbol
_atom_site_fract_x
_atom_site_fract_y
_atom_site_fract_z
_atom_site_occupancy
Ir1 Ir 0.0000 0.0000 0.0000 1
W1 W 0.0000 0.0000 0.5000 1
W2 W 0.5000 0.5000 0.2340 1
W3 W 0.5000 0.5000 0.7660 1
```

Crystal system: tetragonal



A plane-wave DFT calculation with PBE was carried out for crystalline Ir3W at its relaxed geometry.

```
data_Ir3W
_cell_length_a 5.2387
_cell_length_b 5.2387
_cell_length_c 5.2387
_cell_angle_alpha 149.28
_cell_angle_beta 64.11
_cell_angle_gamma 125.24
_symmetry_space_group_name_H-M 'P 1'
_symmetry_Int_Tables_number 1
loop_
_symmetry_equiv_pos_as_xyz
'x,y,z'
loop_
_atom_site_label
_atom_site_type_symbol
_atom_site_fract_x
_atom_site_fract_y
_atom_site_fract_z
_atom_site_occupancy
Ir1 Ir 0.0000 0.0000 0.0000 1
Ir2 Ir 0.0920 0.3398 0.7522 1
Ir3 Ir 0.5875 0.3398 0.2478 1
W1 W 0.5065 0.0065 0.5000 1
```

Crystal system: orthorhombic



A plane-wave DFT calculation with PBE was carried out for crystalline IrW3 at its relaxed geometry.

```
data_IrW3
_cell_length_a 2.7357
_cell_length_b 4.4505
_cell_length_c 5.2778
_cell_angle_alpha 90.00
_cell_angle_beta 100.13
_cell_angle_gamma 90.00
_symmetry_space_group_name_H-M 'P 1'
_symmetry_Int_Tables_number 1
loop_
_symmetry_equiv_pos_as_xyz
'x,y,z'
loop_
_atom_site_label
_atom_site_type_symbol
_atom_site_fract_x
_atom_site_fract_y
_atom_site_fract_z
_atom_site_occupancy
Ir1 Ir 0.0000 0.0000 0.0000 1
W1 W 0.2769 0.5000 0.7477 1
W2 W 0.5000 0.0000 0.5000 1
W3 W 0.7231 0.5000 0.2523 1
```

Crystal system: monoclinic



| no. | magnetization (μB/f.u.) | E_form (eV per formula unit) |
| --- | --- | --- |
| 1 | 2.050 | -2.2 |
| 2 | 0.000 | -2.0 |
| 3 | 0.000 | 1.8 |
| 4 | 3.166 | 2.6 |
| 5 | 0.000 | -1.2 |
| 6 | 0.000 | -1.7 |
| 7 | 0.000 | -2.5 |
| 8 | 0.000 | -1.1 |
| 9 | 0.000 | 1.7 |
| 10 | 0.000 | 0.1 |
| 11 | 0.000 | 0.1 |
| 12 | 0.000 | 0.1 |
| 13 | 0.000 | -0.7 |
| 14 | 0.000 | 0.4 |